# OsRuPb2 (GGA-PBE, optimized geometry)
data_OsRuPb2
_cell_length_a 3.956
_cell_length_b 3.956
_cell_length_c 10.021
_cell_angle_alpha 90.00
_cell_angle_beta 90.00
_cell_angle_gamma 90.00
_space_group_name_H-M_alt 'I -4 m 2'
_space_group_IT_number 119
_space_group_name_Hall 'I -4 -2'
loop_
_atom_site_label
_atom_site_fract_x
_atom_site_fract_y
_atom_site_fract_z
Os1 0.000 0.000 0.000
Ru1 0.000 0.500 0.250
Pb1 0.000 0.000 0.500
Pb2 0.000 0.500 0.750
# Formation energy, eV per atom: 1.01
# VASP energy, eV/atom: -5.973
# Energy above the most stable polymorph in this dataset, kJ/mol of formula units: 211

# Mg6ScCd23 (GGA-PBE, optimized geometry)
data_Mg6ScCd23
_cell_length_a 13.958
_cell_length_b 13.958
_cell_length_c 13.958
_cell_angle_alpha 90.00
_cell_angle_beta 90.00
_cell_angle_gamma 90.00
_space_group_name_H-M_alt 'F m -3 m'
_space_group_IT_number 225
_space_group_name_Hall '-F 4 2 3'
loop_
_atom_site_label
_atom_site_fract_x
_atom_site_fract_y
_atom_site_fract_z
Mg1 0.000 0.000 0.249
Sc1 0.000 0.000 0.000
Cd1 0.000 0.000 0.500
Cd2 0.000 0.250 0.250
Cd3 0.127 0.127 0.127
Cd4 0.133 0.133 0.367
# Formation energy, eV per atom: -0.03
# VASP energy, eV/atom: -1.263